Entry 1:
VASP calculation (PBE) on a relaxed structure of CoTcSb2. Values from VASP.

## Properties
SG: R3m
total DFT energy (no corrections): -24.16 eV per cell
energy above the most stable polymorph in this dataset: 0.284 eV/atom

Geometry as Quantum ESPRESSO input:
```
&SYSTEM
  ibrav = 0, nat = 4, ntyp = 3
/
ATOMIC_SPECIES
Sb 121.76 Sb.upf
Co 58.93 Co.upf
Tc 98.00 Tc.upf
CELL_PARAMETERS angstrom
10.421 0.071 0.041
9.941 3.126 0.041
9.941 1.561 2.709
ATOMIC_POSITIONS crystal
Sb 0.223 0.223 0.223
Sb 0.030 0.030 0.030
Co 0.759 0.759 0.759
Tc 0.489 0.489 0.489
```

Entry 2:
VASP calculation (PBE) on a relaxed structure of YSn2Mo. Values from VASP.

## Properties
SG: Fm-3m
total DFT energy (no corrections): -25.43 eV per cell
formation enthalpy at 0 K: -31 meV per atom
energy above the most stable polymorph in this dataset: 0.000 eV/atom

Geometry as Quantum ESPRESSO input:
```
&SYSTEM
  ibrav = 0, nat = 4, ntyp = 3
/
ATOMIC_SPECIES
Sn 118.71 Sn.upf
Y 88.91 Y.upf
Mo 95.94 Mo.upf
CELL_PARAMETERS angstrom
0.000 3.516 3.516
3.516 0.000 3.516
3.516 3.516 0.000
ATOMIC_POSITIONS crystal
Sn 0.750 0.750 0.750
Sn 0.250 0.250 0.250
Y 0.000 0.000 0.000
Mo 0.500 0.500 0.500
```

Entry 3:
VASP calculation (PBE) on a relaxed structure of Fe5H12Rh3. Values from VASP.

## Properties
SG: Ia-3d
total DFT energy (no corrections): -405.97 eV per cell

Geometry as Quantum ESPRESSO input:
```
&SYSTEM
  ibrav = 0, nat = 80, ntyp = 3
/
ATOMIC_SPECIES
H 1.01 H.upf
Fe 55.84 Fe.upf
Rh 102.91 Rh.upf
CELL_PARAMETERS angstrom
-1.454 -8.796 -1.545
1.322 1.329 8.852
-7.190 4.770 -2.725
ATOMIC_POSITIONS crystal
H 0.163 0.082 0.944
H 0.556 0.218 0.138
H 0.582 0.638 0.419
H 0.862 0.282 0.444
H 0.444 0.663 0.082
H 0.663 0.218 0.581
H 0.056 0.638 0.718
H 0.082 0.919 0.138
H 0.837 0.918 0.056
H 0.282 0.419 0.837
H 0.944 0.362 0.282
H 0.163 0.081 0.718
H 0.919 0.837 0.782
H 0.638 0.056 0.218
H 0.081 0.918 0.362
H 0.419 0.138 0.582
H 0.138 0.718 0.556
H 0.082 0.163 0.444
H 0.663 0.444 0.582
H 0.056 0.418 0.837
H 0.581 0.862 0.418
H 0.837 0.919 0.282
H 0.718 0.138 0.056
H 0.918 0.081 0.862
H 0.337 0.782 0.419
H 0.582 0.944 0.663
H 0.418 0.056 0.337
H 0.218 0.663 0.081
H 0.862 0.581 0.918
H 0.782 0.444 0.362
H 0.337 0.556 0.418
H 0.081 0.163 0.218
H 0.556 0.337 0.918
H 0.718 0.581 0.163
H 0.919 0.082 0.638
H 0.782 0.337 0.919
H 0.282 0.862 0.944
H 0.581 0.718 0.663
H 0.944 0.582 0.163
H 0.418 0.362 0.581
H 0.362 0.418 0.081
H 0.362 0.944 0.782
H 0.638 0.582 0.919
H 0.138 0.419 0.082
H 0.918 0.837 0.556
H 0.218 0.556 0.638
H 0.419 0.282 0.337
H 0.444 0.782 0.862
Fe 0.125 0.750 0.375
Fe 0.375 0.250 0.125
Fe 0.000 0.000 0.000
Fe 0.750 0.625 0.375
Fe 0.875 0.250 0.625
Fe 0.500 0.500 0.500
Fe 0.875 0.625 0.750
Fe 0.125 0.375 0.250
Fe 0.000 0.500 0.500
Fe 0.000 0.500 0.000
Fe 0.625 0.875 0.250
Fe 0.500 0.000 0.000
Fe 0.000 0.000 0.500
Fe 0.500 0.500 0.000
Fe 0.375 0.125 0.750
Fe 0.250 0.875 0.125
Fe 0.250 0.375 0.625
Fe 0.625 0.750 0.875
Fe 0.500 0.000 0.500
Fe 0.750 0.125 0.875
Rh 0.750 0.875 0.625
Rh 0.375 0.625 0.250
Rh 0.125 0.250 0.875
Rh 0.875 0.125 0.250
Rh 0.875 0.750 0.125
Rh 0.250 0.125 0.375
Rh 0.625 0.250 0.375
Rh 0.250 0.625 0.875
Rh 0.750 0.375 0.125
Rh 0.125 0.875 0.750
Rh 0.375 0.750 0.625
Rh 0.625 0.375 0.750
```

Entry 4:
VASP calculation (PBE) on a relaxed structure of Tb5PmIn6. Values from VASP.

## Properties
SG: C2/m
total DFT energy (no corrections): -50.09 eV per cell
formation enthalpy at 0 K: -480 meV per atom

Geometry as Quantum ESPRESSO input:
```
&SYSTEM
  ibrav = 0, nat = 12, ntyp = 3
/
ATOMIC_SPECIES
Tb 158.93 Tb.upf
In 114.82 In.upf
Pm 145.00 Pm.upf
CELL_PARAMETERS angstrom
5.131 1.558 0.000
2.961 8.767 0.000
1.480 4.383 8.053
ATOMIC_POSITIONS crystal
Tb 0.000 0.333 0.335
Tb 0.500 0.835 0.329
Tb 0.000 0.667 0.665
Tb 0.500 0.500 0.000
Tb 0.500 0.165 0.671
In 0.253 0.915 0.663
In 0.747 0.421 0.663
In 0.244 0.256 0.000
In 0.747 0.085 0.337
In 0.756 0.744 0.000
In 0.253 0.579 0.337
Pm 0.000 0.000 0.000
```

Entry 5:
VASP calculation (PBE) on a relaxed structure of RbLiGePt. Values from VASP.

## Properties
SG: R3m
total DFT energy (no corrections): -15.22 eV per cell
formation enthalpy at 0 K: -421 meV per atom

Geometry as Quantum ESPRESSO input:
```
&SYSTEM
  ibrav = 0, nat = 4, ntyp = 4
/
ATOMIC_SPECIES
Rb 85.47 Rb.upf
Pt 195.08 Pt.upf
Ge 72.64 Ge.upf
Li 6.94 Li.upf
CELL_PARAMETERS angstrom
4.371 0.000 0.000
2.185 3.785 0.000
2.185 1.262 6.312
ATOMIC_POSITIONS crystal
Rb 0.815 0.815 0.555
Pt 0.293 0.293 0.120
Ge 0.624 0.624 0.127
Li 0.993 0.993 0.020
```

Entry 6:
VASP calculation (PBE) on a relaxed structure of Pm2MgNi3. Values from VASP.

## Properties
SG: Fmmm
total DFT energy (no corrections): -59.10 eV per cell
formation enthalpy at 0 K: -185 meV per atom

Geometry as Quantum ESPRESSO input:
```
&SYSTEM
  ibrav = 0, nat = 12, ntyp = 3
/
ATOMIC_SPECIES
Mg 24.30 Mg.upf
Pm 145.00 Pm.upf
Ni 58.69 Ni.upf
CELL_PARAMETERS angstrom
5.767 -0.173 0.000
-0.396 5.756 0.000
-2.685 -2.792 7.246
ATOMIC_POSITIONS crystal
Mg 0.665 0.665 0.329
Mg 0.335 0.335 0.671
Pm 0.762 0.762 0.000
Pm 0.238 0.238 0.000
Pm 0.250 0.750 0.500
Pm 0.750 0.250 0.500
Ni 0.324 0.840 0.164
Ni 0.840 0.324 0.164
Ni 0.838 0.838 0.675
Ni 0.162 0.162 0.325
Ni 0.676 0.160 0.836
Ni 0.160 0.676 0.836
```

Entry 7:
VASP calculation (PBE) on a relaxed structure of SmDy2Er3. Values from VASP.

## Properties
SG: C2/c
total DFT energy (no corrections): -54.98 eV per cell
formation enthalpy at 0 K: 21 meV per atom
energy above the most stable polymorph in this dataset: 0.000 eV/atom

Geometry as Quantum ESPRESSO input:
```
&SYSTEM
  ibrav = 0, nat = 12, ntyp = 3
/
ATOMIC_SPECIES
Er 167.26 Er.upf
Dy 162.50 Dy.upf
Sm 150.36 Sm.upf
CELL_PARAMETERS angstrom
-5.837 1.662 0.761
-0.674 0.834 -6.995
-2.139 -8.691 2.750
ATOMIC_POSITIONS crystal
Er 0.916 0.707 0.665
Er 0.250 0.376 0.000
Er 0.584 0.042 0.335
Er 0.084 0.293 0.335
Er 0.416 0.958 0.665
Er 0.750 0.624 0.000
Dy 0.083 0.792 0.334
Dy 0.417 0.458 0.666
Dy 0.583 0.542 0.334
Dy 0.917 0.208 0.666
Sm 0.250 0.874 0.000
Sm 0.750 0.126 0.000
```

Entry 8:
VASP calculation (PBE) on a relaxed structure of Tm2AlGa3. Values from VASP.

## Properties
SG: Fmmm
total DFT energy (no corrections): -50.33 eV per cell
formation enthalpy at 0 K: -566 meV per atom
energy above the most stable polymorph in this dataset: 0.011 eV/atom

Geometry as Quantum ESPRESSO input:
```
&SYSTEM
  ibrav = 0, nat = 12, ntyp = 3
/
ATOMIC_SPECIES
Tm 168.93 Tm.upf
Ga 69.72 Ga.upf
Al 26.98 Al.upf
CELL_PARAMETERS angstrom
-4.820 -2.582 1.354
3.264 -1.039 4.472
-1.732 8.242 0.414
ATOMIC_POSITIONS crystal
Tm 0.250 0.750 0.500
Tm 0.247 0.247 0.000
Tm 0.750 0.250 0.500
Tm 0.753 0.753 0.000
Ga 0.334 0.832 0.166
Ga 0.167 0.167 0.334
Ga 0.666 0.168 0.834
Ga 0.168 0.666 0.834
Ga 0.832 0.334 0.166
Ga 0.833 0.833 0.666
Al 0.334 0.334 0.667
Al 0.666 0.666 0.333
```